Entry 1:
Computed, not measured: an optimized crystal structure of ThNiPt2 at the PBE level of DFT.

```
ThNiPt2
1.0
-1.7590 2.6299 2.5380
-3.3986 -3.7063 -1.7612
1.7553 -4.3098 5.6825
Pt Th Ni
4 2 2
Cartesian
-1.3112 -1.2730 3.6500
-1.4118 -5.7813 5.0085
-1.9905 0.3951 1.4507
-2.0912 -4.1133 2.8092
-4.1848 -1.8537 2.2601
0.7824 -3.5325 4.1992
-1.8836 -3.2153 5.2633
-1.5187 -2.1710 1.1959
```

Calculated values
The calculation puts the total energy at -7.1911 eV/atom. The calculation puts the density of states at the Fermi level at 6.777 states/eV per cell. The space group is Cmcm, No. 63.

---

Entry 2:
Computed, not measured: an optimized crystal structure of ThNi2Pt4 at the PBE level of DFT.

```
ThNi2Pt4
1.0
5.9956 -1.0215 0.0000
-3.3550 5.0729 0.0000
-1.3203 -2.0257 5.5806
Ni Pt Th
2 4 1
Cartesian
-1.6775 2.5364 2.7903
2.9978 -0.5107 2.7903
1.0854 -0.7075 4.2850
0.2349 2.7332 1.2956
2.4057 1.3183 1.2956
-1.0854 0.7075 4.2850
0.0000 0.0000 0.0000
```

Calculated values
The calculation puts the total energy at -6.1306 eV/atom. The calculation puts the density of states at the Fermi level at 9.885 states/eV per cell. The space group is I4/mmm, No. 139.